Record 1
Crystalline YHo4Pt4 at its relaxed geometry. Source: the Alexandria database, functional PBE.

Cell and atoms, written as POSCAR:
```
YHo4Pt4
1.0
-1.634 3.766 3.950
2.116 -5.886 6.488
8.370 3.328 0.289
Ho Pt Y
8 8 2
direct
0.916 0.597 0.828
0.084 0.828 0.403
0.416 0.672 0.097
0.584 0.903 0.672
0.084 0.172 0.597
0.416 0.328 0.903
0.916 0.403 0.172
0.584 0.097 0.328
0.084 0.124 0.286
0.416 0.624 0.786
0.916 0.714 0.124
0.916 0.286 0.876
0.584 0.786 0.376
0.416 0.376 0.214
0.584 0.214 0.624
0.084 0.876 0.714
0.000 0.000 0.000
0.500 0.500 0.500
```

E_tot ... -0.4776 Ry per atom


Record 2
Crystalline LiPaF5 at its relaxed geometry. Source: the Alexandria database, functional PBE.

Cell and atoms, written as POSCAR:
```
LiPaF5
1.0
5.932 -0.604 -1.642
-2.780 5.081 -2.169
0.839 0.440 7.051
F Pa Li
10 2 2
direct
0.597 0.920 0.625
0.217 0.467 0.250
0.707 0.970 0.044
0.926 0.162 0.456
0.293 0.030 0.956
0.295 0.472 0.875
0.403 0.080 0.375
0.705 0.528 0.125
0.074 0.838 0.544
0.783 0.533 0.750
0.545 0.795 0.250
0.455 0.205 0.750
0.000 0.500 0.500
0.000 0.000 0.000
```

Formation energy (no corrections) ... -3.4445 eV/atom